Entry from the Alexandria database: NaMg5Cd4 after structural relaxation (PBE).

Summary:
**VASP energy**: -1.345 eV/atom
**Formation energy from the elements**: -50 meV per atom
**D(E_F)**: 0.3560 states/eV/atom

a b c (Å): 3.5593 3.5593 18.0660
angles (deg): 90.00 90.00 90.00
Closest atoms and distances in Å follow each position.
Space group P4/mmm (No. 123)
Unique sites:
Na  0.0000  0.0000  0.0000  8 Mg 3.38, 4 Na 3.56
Mg  0.5000  0.5000  0.1249  4 Cd 3.02, 4 Na 3.38
Mg  0.5000  0.5000  0.3132  8 Cd 3.02-3.06, 1 Mg 3.37
Mg  0.5000  0.5000  0.5000  8 Cd 3.04, 2 Mg 3.37
Cd  0.0000  0.0000  0.2173  8 Mg 3.02-3.06
Cd  0.0000  0.0000  0.4058  8 Mg 3.02-3.04


Entry from the Alexandria database: NaMg3Cd3 after structural relaxation (PBE).

Summary:
**VASP energy**: -0.948 eV/atom
**Formation energy from the elements**: 316 meV per atom
**D(E_F)**: 0.4110 states/eV/atom

a b c (Å): 7.9102 7.9102 7.9102
angles (deg): 90.00 90.00 90.00
Closest atoms and distances in Å follow each position.
Space group Pm-3n (No. 223)
Unique sites:
Na  0.0000  0.0000  0.0000  12 Cd 4.42, 12 Mg 4.42
Mg  0.0000  0.2500  0.5000  4 Cd 2.80
Cd  0.0000  0.5000  0.2500  4 Mg 2.80


Entry from the Alexandria database: Na17MgCd11 after structural relaxation (PBE).

Summary:
**VASP energy**: -1.244 eV/atom
**Formation energy from the elements**: -68 meV per atom
**D(E_F)**: 0.6765 states/eV/atom

a b c (Å): 11.7297 16.6281 10.1568
angles (deg): 90.00 125.24 90.00
Closest atoms and distances in Å follow each position.
Space group Cm (No. 8)
Unique sites:
Na  0.0000  0.0000  0.0000  11 Cd 3.50-3.55, 1 Mg 3.51, 4 Na 3.52-3.57
Na  0.0024  0.0000  0.3480  4 Na 3.33-3.52, 6 Cd 3.45-3.46
Na  0.0638  0.3448  0.4034  7 Na 3.32-3.58, 5 Cd 3.34-3.48
Na  0.1558  0.5000  0.6503  4 Na 3.29-3.52, 6 Cd 3.42-3.46
Na  0.1590  0.1595  0.5865  4 Cd 3.31-3.44, 7 Na 3.34-3.62, 1 Mg 3.45
Na  0.1753  0.1755  0.0004  4 Na 3.31-3.57, 5 Cd 3.42-3.47, 1 Mg 3.48
Na  0.1859  0.5000  0.2739  7 Na 3.33-3.57, 5 Cd 3.34-3.45
Na  0.2981  0.2967  0.3135  5 Cd 3.31-3.48, 7 Na 3.31-3.58
Na  0.4133  0.0000  0.7185  7 Na 3.29-3.62, 4 Cd 3.37-3.44, 1 Mg 3.43
Na  0.4550  0.1416  0.9978  4 Cd 3.33-3.49, 7 Na 3.34-3.59, 1 Mg 3.55
Na  0.4854  0.2044  0.6851  7 Na 3.31-3.57, 5 Cd 3.33-3.48
Mg  0.1774  0.0000  0.8156  3 Cd 2.94-2.99
Cd  0.0049  0.1811  0.1826  3 Cd 2.96-3.06
Cd  0.2290  0.4109  0.9989  3 Cd 2.96-3.05
Cd  0.2725  0.0918  0.3603  3 Cd 2.96-3.06
Cd  0.3197  0.3200  0.8138  3 Cd 2.95-3.06
Cd  0.3587  0.0000  0.1700  1 Mg 2.94, 2 Cd 3.06
Cd  0.4094  0.4079  0.6360  2 Cd 2.95-3.06, 1 Mg 2.99


Entry from the Alexandria database: Na2MgCd5 after structural relaxation (PBE).

Summary:
**VASP energy**: -1.169 eV/atom
**Formation energy from the elements**: -68 meV per atom
**D(E_F)**: 0.4180 states/eV/atom

a b c (Å): 4.6078 4.6078 17.9723
angles (deg): 90.00 90.00 90.00
Closest atoms and distances in Å follow each position.
Space group I4/mmm (No. 139)
Unique sites:
Na  0.0000  0.0000  0.2497  4 Na 3.26, 8 Cd 3.31-3.32
Mg  0.0000  0.0000  0.0000  12 Cd 3.12-3.26
Cd  0.0000  0.0000  0.5000  8 Cd 3.12, 4 Mg 3.26
Cd  0.0000  0.5000  0.1174  6 Cd 3.12-3.26, 2 Mg 3.12, 4 Na 3.31-3.32


Entry from the Alexandria database: NaMgCd2 after structural relaxation (PBE).

Summary:
**VASP energy**: -1.088 eV/atom
**Formation energy from the elements**: 98 meV per atom
**D(E_F)**: 0.4630 states/eV/atom

a b c (Å): 8.2839 8.2839 6.2244
angles (deg): 90.00 90.00 90.00
Closest atoms and distances in Å follow each position.
Space group I-42d (No. 122)
Unique sites:
Na  0.0000  0.0000  0.0000  2 Mg 3.11, 4 Cd 3.15
Mg  0.0000  0.0000  0.5000  4 Cd 2.92, 2 Na 3.11
Cd  0.2294  0.2500  0.6250  2 Mg 2.92, 2 Cd 3.13, 2 Na 3.15


Entry from the Alexandria database: Na3Mg2Cd7 after structural relaxation (PBE).

Summary:
**E above lowest polymorph**: 0.000 eV/atom
**VASP energy**: -1.209 eV/atom
**Formation energy from the elements**: -80 meV per atom
**D(E_F)**: 0.4235 states/eV/atom

a b c (Å): 5.9631 5.9631 29.4872
angles (deg): 90.00 90.00 120.00
Closest atoms and distances in Å follow each position.
Space group R-3m (No. 166, hexagonal axes)
Unique sites:
Na  0.0000  0.0000  0.0000  6 Mg 3.44
Na  0.0000  0.0000  0.1445  12 Cd 3.47-3.52, 3 Na 3.68
Mg  0.0000  0.0000  0.3335  6 Cd 3.02-3.04
Cd  0.0000  0.0000  0.5000  6 Cd 2.99
Cd  0.0044  0.5022  0.9155  5 Cd 2.94-3.02, 2 Mg 3.02-3.04


Entry from the Alexandria database: NaMgCd after structural relaxation (PBE).

Summary:
**E above lowest polymorph**: 0.000 eV/atom
**VASP energy**: -1.342 eV/atom
**Formation energy from the elements**: -65 meV per atom
**D(E_F)**: 0.2401 states/eV/atom

a b c (Å): 6.1153 6.1658 8.2653
angles (deg): 90.00 90.00 90.00
Closest atoms and distances in Å follow each position.
Space group Imma (No. 74)
Unique sites:
Na  0.0000  0.2500  0.1210  6 Cd 3.43-3.60, 6 Mg 3.49-3.57, 4 Na 3.67-3.73
Mg  0.0000  0.0000  0.5000  4 Cd 3.00, 2 Mg 3.08
Cd  0.2500  0.2500  0.7500  4 Mg 3.00, 2 Cd 3.06


Entry from the Alexandria database: NaMg6Cd6 after structural relaxation (PBE).

Summary:
**VASP energy**: -1.313 eV/atom
**Formation energy from the elements**: -53 meV per atom
**D(E_F)**: 0.5004 states/eV/atom

a b c (Å): 5.8928 10.1157 10.2273
angles (deg): 90.00 90.00 90.00
Closest atoms and distances in Å follow each position.
Space group Immm (No. 71)
Unique sites:
Na  0.0000  0.0000  0.0000  8 Mg 3.55-3.63, 12 Cd 3.69-3.89
Mg  0.0000  0.0000  0.3504  3 Mg 3.06-3.29, 6 Cd 3.10-3.22
Mg  0.0000  0.3505  0.0000  3 Mg 3.02-3.35, 6 Cd 3.12-3.23
Mg  0.0000  0.5000  0.2921  6 Cd 2.96-3.08, 2 Mg 3.29
Cd  0.0000  0.2798  0.5000  4 Cd 2.97, 6 Mg 3.08-3.23
Cd  0.2500  0.2500  0.2500  4 Cd 2.95-2.97, 6 Mg 2.96-3.12


Entry from the Alexandria database: NaMgCd17 after structural relaxation (PBE).

Summary:
**VASP energy**: -0.972 eV/atom
**Formation energy from the elements**: 0 meV per atom
**D(E_F)**: 0.2641 states/eV/atom

a b c (Å): 10.1724 10.1724 15.1980
angles (deg): 90.00 90.00 120.00
Closest atoms and distances in Å follow each position.
Space group R3m (No. 160, hexagonal axes)
Unique sites:
Na  0.0000  0.0000  0.0000  13 Cd 3.46-3.70
Mg  0.0000  0.0000  0.6368  7 Cd 3.07-3.17
Cd  0.0000  0.0000  0.2433  4 Cd 2.87-2.91
Cd  0.0000  0.0000  0.4351  4 Cd 2.91-2.98, 1 Mg 3.07
Cd  0.9998  0.3002  0.3295  6 Cd 2.93-3.12
Cd  0.0331  0.5166  0.1914  7 Cd 2.93-3.10, 1 Mg 3.15
Cd  0.0451  0.5225  0.8212  7 Cd 2.87-3.10
Cd  0.1085  0.2170  0.8031  4 Cd 2.93-3.12, 1 Mg 3.17


Entry from the Alexandria database: Na4MgCd2 after structural relaxation (PBE).

Summary:
**VASP energy**: -1.258 eV/atom
**Formation energy from the elements**: -15 meV per atom
**D(E_F)**: 0.4051 states/eV/atom

a b c (Å): 8.7325 9.6250 4.9734
angles (deg): 90.00 90.00 90.00
Closest atoms and distances in Å follow each position.
Space group Cmmm (No. 65)
Unique sites:
Na  0.1859  0.0000  0.0000  5 Na 3.25-3.51, 4 Cd 3.25-3.47
Na  0.2500  0.2500  0.5000  2 Mg 3.25, 4 Cd 3.37, 4 Na 3.51
Mg  0.0000  0.5000  0.5000  4 Cd 3.04, 4 Na 3.25
Cd  0.0000  0.3182  0.0000  2 Mg 3.04, 6 Na 3.25-3.37


Entry from the Alexandria database: Na2MgCd after structural relaxation (PBE).

Summary:
**VASP energy**: -1.154 eV/atom
**Formation energy from the elements**: 133 meV per atom
**D(E_F)**: 0.3221 states/eV/atom

a b c (Å): 8.7657 8.7657 6.0401
angles (deg): 90.00 90.00 90.00
Closest atoms and distances in Å follow each position.
Space group I-42d (No. 122)
Unique sites:
Na  0.2324  0.7500  0.1250  2 Na 3.04, 2 Cd 3.09, 2 Mg 3.30
Mg  0.0000  0.0000  0.5000  2 Cd 3.02, 4 Na 3.30
Cd  0.0000  0.0000  0.0000  2 Mg 3.02, 4 Na 3.09


Entry from the Alexandria database: NaMg3Cd6 after structural relaxation (PBE).

Summary:
**VASP energy**: -1.236 eV/atom
**Formation energy from the elements**: -76 meV per atom
**D(E_F)**: 0.3300 states/eV/atom

a b c (Å): 8.5677 5.0095 11.2113
angles (deg): 90.00 112.43 90.00
Closest atoms and distances in Å follow each position.
Space group P2_1/m (No. 11)
Unique sites:
Na  0.1095  0.2500  0.0726  8 Cd 3.17-3.29, 2 Na 3.18, 2 Mg 3.29-3.32
Mg  0.0902  0.7500  0.7281  8 Cd 3.04-3.15, 3 Mg 3.14-3.28, 1 Na 3.29
Mg  0.3023  0.2500  0.8663  9 Cd 3.07-3.31, 2 Mg 3.14, 1 Na 3.32
Mg  0.3040  0.7500  0.5401  11 Cd 3.03-3.32, 1 Mg 3.28
Cd  0.0934  0.7500  0.2426  4 Mg 3.04-3.13, 4 Cd 3.10-3.18, 3 Na 3.18-3.29
Cd  0.1041  0.2500  0.5684  7 Mg 3.10-3.23, 5 Cd 3.12-3.28
Cd  0.3007  0.2500  0.3784  4 Mg 3.09-3.15, 6 Cd 3.11-3.18, 1 Na 3.19
Cd  0.3041  0.7500  0.0247  4 Mg 3.07-3.13, 4 Cd 3.11-3.14, 3 Na 3.17-3.29
Cd  0.4820  0.7500  0.3237  8 Cd 3.10-3.28, 4 Mg 3.14-3.32
Cd  0.4875  0.7500  0.8307  5 Mg 3.03-3.18, 5 Cd 3.11-3.14, 1 Na 3.20


Entry from the Alexandria database: NaMg6Cd5 after structural relaxation (PBE).

Summary:
**VASP energy**: -1.352 eV/atom
**Formation energy from the elements**: -63 meV per atom
**D(E_F)**: 0.3087 states/eV/atom

a b c (Å): 4.5609 8.3894 7.3412
angles (deg): 90.00 106.99 90.00
Closest atoms and distances in Å follow each position.
Space group P2/m (No. 10)
Unique sites:
Na  0.0000  0.0000  0.0000  8 Mg 3.20-3.23, 4 Cd 3.24-3.30
Mg  0.1715  0.2586  0.3408  7 Cd 3.05-3.15, 4 Mg 3.17-3.34, 1 Na 3.23
Mg  0.5000  0.2669  0.0000  6 Cd 3.00-3.24, 2 Na 3.20, 4 Mg 3.27-3.34
Cd  0.0000  0.5000  0.0000  8 Mg 3.00-3.14, 4 Cd 3.24-3.31
Cd  0.3316  0.5000  0.6654  8 Mg 3.05-3.06, 4 Cd 3.23-3.31
Cd  0.3337  0.0000  0.6661  8 Mg 3.14-3.24, 2 Cd 3.23-3.30, 2 Na 3.24-3.30


Entry from the Alexandria database: Na3MgCd4 after structural relaxation (PBE).

Summary:
**E above lowest polymorph**: 0.093 eV/atom
**VASP energy**: -1.138 eV/atom
**Formation energy from the elements**: 14 meV per atom
**D(E_F)**: 0.4247 states/eV/atom

a b c (Å): 6.2630 10.6977 6.2606
angles (deg): 90.00 90.00 90.00
Closest atoms and distances in Å follow each position.
Space group Imm2 (No. 44)
Unique sites:
Na  0.0000  0.0000  0.0000  4 Cd 3.09-3.41, 2 Mg 3.18, 2 Na 3.20
Na  0.0000  0.2656  0.7652  6 Cd 3.06-3.28, 1 Na 3.20, 1 Mg 3.36
Mg  0.0000  0.5000  0.4082  4 Cd 2.91-3.08, 2 Na 3.18
Cd  0.0000  0.2388  0.2788  1 Mg 2.91, 5 Na 3.06-3.23, 2 Cd 3.25
Cd  0.2448  0.0000  0.4870  4 Cd 3.07-3.25, 1 Mg 3.08, 3 Na 3.28-3.41


Entry from the Alexandria database: NaMgCd2 after structural relaxation (PBE).

Summary:
**VASP energy**: -1.213 eV/atom
**Formation energy from the elements**: -27 meV per atom
**D(E_F)**: 0.4432 states/eV/atom

a b c (Å): 3.2247 3.2247 31.6652
angles (deg): 90.00 90.00 120.00
Closest atoms and distances in Å follow each position.
Space group R-3m (No. 166, hexagonal axes)
Unique sites:
Na  0.0000  0.0000  0.0000  6 Na 3.22, 6 Cd 3.30
Mg  0.0000  0.0000  0.5000  6 Cd 3.16, 6 Mg 3.22
Cd  0.0000  0.0000  0.2471  3 Mg 3.16, 6 Cd 3.22, 3 Na 3.30


Entry from the Alexandria database: Na2Mg2Cd after structural relaxation (PBE).

Summary:
**E above lowest polymorph**: 0.093 eV/atom
**VASP energy**: -1.184 eV/atom
**Formation energy from the elements**: 164 meV per atom
**D(E_F)**: 0.4461 states/eV/atom

a b c (Å): 4.1412 4.1412 17.7716
angles (deg): 90.00 90.00 90.00
Closest atoms and distances in Å follow each position.
Space group I4/mmm (No. 139)
Unique sites:
Na  0.0000  0.0000  0.0951  4 Cd 3.38, 1 Na 3.38, 4 Mg 3.44
Mg  0.0000  0.5000  0.2500  4 Mg 2.93
Cd  0.0000  0.0000  0.5000  8 Na 3.38


Entry from the Alexandria database: NaMgCd4 after structural relaxation (PBE).

Summary:
**E above lowest polymorph**: 0.052 eV/atom
**VASP energy**: -1.123 eV/atom
**Formation energy from the elements**: -27 meV per atom
**D(E_F)**: 0.3742 states/eV/atom

a b c (Å): 4.4897 18.8083 7.0293
angles (deg): 90.00 90.00 90.00
Closest atoms and distances in Å follow each position.
Space group Cmcm (No. 63)
Unique sites:
Na  0.0000  0.1072  0.2500  9 Cd 3.18-3.49
Mg  0.0000  0.2330  0.7500  7 Cd 2.87-3.09
Cd  0.0000  0.0686  0.7500  1 Mg 3.09, 8 Cd 3.13-3.18, 1 Na 3.31
Cd  0.0000  0.3409  0.0390  3 Mg 2.87-3.03, 4 Cd 2.97-3.18, 2 Na 3.18
Cd  0.0000  0.5000  0.0000  6 Cd 3.01-3.13


Entry from the Alexandria database: NaMgCd4 after structural relaxation (PBE).

Summary:
**E above lowest polymorph**: 0.000 eV/atom
**VASP energy**: -1.175 eV/atom
**Formation energy from the elements**: -79 meV per atom
**D(E_F)**: 0.2507 states/eV/atom

a b c (Å): 3.1475 5.0855 8.7225
angles (deg): 90.00 90.05 90.00
Closest atoms and distances in Å follow each position.
Space group P2/m (No. 10)
Unique sites:
Na  0.0000  0.0000  0.0000  2 Na 3.15, 12 Cd 3.31-3.34
Mg  0.0000  0.5000  0.5000  2 Mg 3.15, 12 Cd 3.28-3.32
Cd  0.4983  0.0000  0.6654  5 Cd 2.89-3.15
Cd  0.5003  0.5000  0.1696  5 Cd 2.92-3.15


Entry from the Alexandria database: Na2MgCd6 after structural relaxation (PBE).

Summary:
**VASP energy**: -1.172 eV/atom
**Formation energy from the elements**: -92 meV per atom
**D(E_F)**: 0.3993 states/eV/atom

a b c (Å): 8.7810 8.7810 3.1815
angles (deg): 90.00 90.00 120.00
Closest atoms and distances in Å follow each position.
Space group P6/mmm (No. 191)
Unique sites:
Na  0.3333  0.6667  0.0000  2 Na 3.18, 12 Cd 3.34
Mg  0.0000  0.0000  0.0000  2 Mg 3.18, 12 Cd 3.31
Cd  0.0000  0.3311  0.5000  5 Cd 2.91-3.18


Entry from the Alexandria database: Na2Mg2Cd after structural relaxation (PBE).

Summary:
**E above lowest polymorph**: 0.134 eV/atom
**VASP energy**: -1.143 eV/atom
**Formation energy from the elements**: 205 meV per atom
**D(E_F)**: 0.5563 states/eV/atom

a b c (Å): 8.3157 8.3157 4.0445
angles (deg): 90.00 90.00 90.00
Closest atoms and distances in Å follow each position.
Space group P4/mbm (No. 127)
Unique sites:
Na  0.1432  0.3568  0.0000  6 Mg 3.11-3.21, 2 Cd 3.20, 1 Na 3.37
Mg  0.1564  0.6564  0.5000  6 Na 3.11-3.21
Cd  0.0000  0.0000  0.0000  4 Na 3.20


Entry from the Alexandria database: NaMg2Cd6 after structural relaxation (PBE).

Summary:
**VASP energy**: -1.195 eV/atom
**Formation energy from the elements**: -84 meV per atom
**D(E_F)**: 0.2966 states/eV/atom

a b c (Å): 3.2954 8.4046 15.0263
angles (deg): 90.00 90.00 90.00
Closest atoms and distances in Å follow each position.
Space group Immm (No. 71)
Unique sites:
Na  0.0000  0.0000  0.0000  12 Cd 3.21-3.42, 2 Na 3.30
Mg  0.0000  0.5000  0.1476  10 Cd 3.05-3.22, 2 Mg 3.30
Cd  0.0000  0.1717  0.5000  3 Cd 2.89-2.92, 4 Mg 3.12, 2 Na 3.21
Cd  0.0000  0.3254  0.3258  4 Cd 2.92-3.08, 3 Mg 3.05-3.22